Record 1
The following is a DFT calculation (GGA-PBE) of a geometry-optimized TbBeAl3Ni structure.

a b c (Å): 6.1031 11.8438 5.6006
angles (deg): 90.00 90.00 90.00
Closest atoms and distances in Å follow each position.
Space group Cmcm (No. 63)
Inequivalent atoms, fractional coordinates:
Tb: 0.0000 0.2196 0.2500 x4  1 Ni 2.58
Be: 0.0000 0.1459 0.7500 x4  5 Al 2.47-2.56
Al: 0.0000 0.3547 0.7500 x4  1 Ni 2.47, 1 Be 2.47
Al: 0.2078 0.0000 0.0000 x8  2 Ni 2.39, 1 Al 2.54, 2 Be 2.56
Ni: 0.0000 0.4371 0.2500 x4  5 Al 2.39-2.47, 1 Tb 2.58

## Properties
calculated density: 5.05 Mg/m³
total magnetic moment: 0.00 Bohr magnetons per cell
energy relative to the elements: -4.4 kcal/mol of atoms
final energy: -0.1624 hartree per atom

***

Record 2
The following is a DFT calculation (GGA-PBE) of a geometry-optimized Ba4AuSBr2 structure.

a b c (Å): 8.2402 4.6147 8.4716
angles (deg): 90.00 108.04 90.00
Closest atoms and distances in Å follow each position.
Space group P2/m (No. 10)
Inequivalent atoms, fractional coordinates:
Ba: 0.2332 0.0000 0.2181 x2  2 S 3.20, 1 Au 3.28, 3 Br 3.50-3.55
Ba: 0.2573 0.5000 0.7784 x2  1 S 3.24, 2 Au 3.24, 3 Br 3.50-3.53
Au: 0.5000 0.0000 0.0000 x1  6 Ba 3.24-3.28
S: 0.0000 0.5000 0.0000 x1  6 Ba 3.20-3.24
Br: 0.0000 0.0000 0.5000 x1  6 Ba 3.50
Br: 0.5000 0.5000 0.5000 x1  6 Ba 3.53-3.55

## Properties
calculated density: 5.09 Mg/m³
total magnetic moment: 1.47 Bohr magnetons per cell
final energy: -0.1393 hartree per atom

***

Record 3
The following is a DFT calculation (GGA-PBE) of a geometry-optimized TiBeSbO2 structure.

a b c (Å): 3.6668 3.6668 4.9715
angles (deg): 90.00 90.00 90.00
Closest atoms and distances in Å follow each position.
Space group P4/mmm (No. 123)
Inequivalent atoms, fractional coordinates:
Ti: 0.0000 0.0000 0.0000 x1  2 Be 2.49, 4 Sb 2.59
Be: 0.0000 0.0000 0.5000 x1  4 O 1.83
Sb: 0.5000 0.5000 0.0000 x1  4 Ti 2.59
O: 0.0000 0.5000 0.5000 x2  2 Be 1.83

## Properties
calculated density: 5.23 Mg/m³
total magnetic moment: 0.00 Bohr magnetons per cell
final energy: -0.1982 hartree per atom

***

Record 4
The following is a DFT calculation (GGA-PBE) of a geometry-optimized Ce3ErPb4 structure.

a b c (Å): 6.3893 12.7701 6.3892
angles (deg): 90.00 90.00 90.00
Closest atoms and distances in Å follow each position.
Space group Pmmn (No. 59, origin choice 2)
Inequivalent atoms, fractional coordinates:
Ce: 0.2500 0.0000 0.2497 x4  6 Pb 3.19
Ce: 0.2500 0.2500 0.7481 x2  6 Pb 3.19-3.20
Er: 0.2500 0.7500 0.7517 x2  6 Pb 3.19-3.20
Pb: 0.2500 0.0000 0.7498 x4  1 Er 3.19, 5 Ce 3.19
Pb: 0.2500 0.2500 0.2479 x2  4 Ce 3.19-3.20, 2 Er 3.19
Pb: 0.2500 0.7500 0.2517 x2  4 Ce 3.19, 2 Er 3.19-3.20

## Properties
calculated density: 9.02 Mg/m³
total magnetic moment: 0.85 Bohr magnetons per cell
energy relative to the elements: -6.7 kcal/mol of atoms
final energy: -0.1816 hartree per atom
offset from the most stable computed form: 0.0964 eV per atom